Record 1
A plane-wave DFT calculation with GGA-PBE was carried out for a relaxed Tb4Pm2PrSc crystal.

Its uncorrected energy is -38.06 eV/f.u. The density of states at the Fermi level comes out at 18.416 states/eV/f.u. The size of the total moment comes out at 0.00 μB per formula unit. The density is 7.165 g cm⁻³.

Cell lengths 5.901, 5.911, 9.462 Å; angles 51.30, 90.00, 90.00 degrees
Sites, in units of the cell vectors:
Tb: 0.500 0.260 0.740
Pm: 0.000 0.000 0.000
Tb: 0.500 0.740 0.260
Tb: 0.000 0.240 0.260
Pm: 0.500 0.000 0.500
Pr: 0.500 0.500 0.000
Tb: 0.000 0.760 0.740
Sc: 0.000 0.500 0.500



Record 2
A plane-wave DFT calculation with GGA-PBE was carried out for a relaxed Tb2Pm6Pr3Sc crystal.

Its uncorrected energy is -58.07 eV/f.u. The density of states at the Fermi level comes out at 17.422 states/eV/f.u. The size of the total moment comes out at 0.00 μB per formula unit. The density is 6.817 g cm⁻³.

Cell lengths 6.283, 6.283, 11.982 Å; angles 95.02, 95.02, 120.02 degrees
Sites, in units of the cell vectors:
Tb: 0.333 0.667 0.000
Pm: 0.589 0.919 0.757
Pr: 0.500 0.500 0.500
Sc: 0.000 0.000 0.000
Pr: 0.833 0.167 0.500
Pm: 0.919 0.589 0.757
Pm: 0.751 0.751 0.243
Pr: 0.167 0.833 0.500
Pm: 0.411 0.081 0.243
Pm: 0.249 0.249 0.757
Tb: 0.667 0.333 0.000
Pm: 0.081 0.411 0.243



Record 3
A plane-wave DFT calculation with GGA-PBE was carried out for a relaxed TbPm5Pr2Sc crystal.

Its uncorrected energy is -43.21 eV/f.u. The density of states at the Fermi level comes out at 12.942 states/eV/f.u. The size of the total moment comes out at 0.00 μB per formula unit. The density is 6.550 g cm⁻³.

Cell lengths 5.439, 11.390, 10.204 Å; angles 90.00, 90.00, 103.81 degrees
Sites, in units of the cell vectors:
Pr: 0.117 0.233 0.754
Pm: 0.500 0.000 0.758
Tb: 0.603 0.205 0.008
Pm: 0.627 0.255 0.508
Pr: 0.116 0.233 0.262
Tb: 0.397 0.795 0.508
Pm: 0.000 0.001 0.508
Sc: 0.787 0.574 0.508
Pm: 0.373 0.745 0.008
Sc: 0.213 0.426 0.008
Pm: 0.722 0.445 0.196
Pm: 0.277 0.554 0.321
Pm: 0.278 0.555 0.696
Pm: 0.723 0.446 0.821
Pr: 0.884 0.767 0.762
Pm: 0.000 0.999 0.008
Pm: 0.500 0.000 0.258
Pr: 0.883 0.767 0.254



Record 4
A plane-wave DFT calculation with GGA-PBE was carried out for a relaxed Pm2PrScTe4 crystal.

Its uncorrected energy is -43.69 eV/f.u. As for the formation energy without anion corrections: -1.3139 eV/atom. The density of states at the Fermi level comes out at 5.373 states/eV/f.u. The size of the total moment comes out at 0.00 μB per formula unit. The density is 6.714 g cm⁻³.

Cell lengths 4.370, 7.718, 7.644 Å; angles 108.90, 90.00, 90.00 degrees
Sites, in units of the cell vectors:
Pm: 0.500 0.000 0.500
Te: 0.500 0.768 0.765
Te: 0.500 0.232 0.235
Te: 0.000 0.761 0.245
Sc: 0.000 0.000 0.000
Te: 0.000 0.239 0.755
Pr: 0.500 0.500 0.000
Pm: 0.000 0.500 0.500



Record 5
A plane-wave DFT calculation with GGA-PBE was carried out for a relaxed Pm3Pr4ScTe8 crystal.

Its uncorrected energy is -86.76 eV/f.u. As for the formation energy without anion corrections: -1.3704 eV/atom. The density of states at the Fermi level comes out at 12.748 states/eV/f.u. The size of the total moment comes out at 0.00 μB per formula unit. The density is 6.794 g cm⁻³.

Cell lengths 8.911, 8.960, 8.910 Å; angles 119.79, 120.00, 90.00 degrees
Sites, in units of the cell vectors:
Pr: 0.500 0.000 0.000
Te: 0.240 0.737 0.997
Te: 0.760 0.263 0.003
Te: 0.252 0.255 0.503
Pm: 0.000 0.500 0.500
Te: 0.757 0.737 0.997
Te: 0.243 0.263 0.003
Te: 0.748 0.745 0.497
Pr: 0.000 0.000 0.000
Te: 0.240 0.737 0.480
Pr: 0.500 0.000 0.500
Pm: 0.500 0.500 0.500
Sc: 0.000 0.500 0.000
Te: 0.760 0.263 0.520
Pr: 0.000 0.000 0.500
Pm: 0.500 0.500 0.000



Record 6
A plane-wave DFT calculation with GGA-PBE was carried out for a relaxed PmPrThSc crystal.

Its uncorrected energy is -23.14 eV/f.u. The density of states at the Fermi level comes out at 4.536 states/eV/f.u. Its energy above the most stable polymorph in this dataset is 0.0 kJ/mol of atoms. The size of the total moment comes out at 0.00 μB per formula unit. The density is 7.369 g cm⁻³.

Cell lengths 3.598, 3.598, 9.796 Å; angles 90.00, 90.00, 90.00 degrees
Sites, in units of the cell vectors:
Pr: 0.000 0.000 0.088
Th: 0.000 0.000 0.557
Pm: 0.500 0.500 0.808
Sc: 0.500 0.500 0.332



Q: What is the formula in the fifth record?
A: Pm3Pr4ScTe8



Q: Look up the uncorrected energy of the first one.
A: -38.06 eV/f.u.



Q: The highest density belongs to which entry?
A: PmPrThSc